Entry 1:
Compound: Pm4YGa2
Source: the Alexandria database
Functional: PBE-GGA
Structure: relaxed

Calculated values
**Energy**: -4.599 eV per atom
**N(E_F)**: 11.20 states/eV per cell

a b c (Å): 5.0901 5.0901 10.4133
angles (deg): 75.85 75.85 60.00
Fractional coordinates of all 7 atoms:
Ga  0.4009  0.4009  0.7973
Ga  0.5991  0.5991  0.2027
Pm  0.7021  0.7021  0.8936
Pm  0.1006  0.1006  0.6981
Pm  0.8994  0.8994  0.3019
Pm  0.2979  0.2979  0.1064
Y  0.5000  0.5000  0.5000

---

Entry 2:
Compound: PmYGa
Source: the Alexandria database
Functional: PBE-GGA
Structure: relaxed

Calculated values
**Offset from the most stable computed form**: 0.106 eV per atom
**Energy**: -5.028 eV per atom
**N(E_F)**: 1.30 states/eV per cell

a b c (Å): 3.7589 5.0149 5.0149
angles (deg): 120.00 90.00 90.00
Fractional coordinates of all 3 atoms:
Ga  0.3693  0.3333  0.6667
Y  0.5851  0.6667  0.3333
Pm  0.0456  0.0000  0.0000

---

Entry 3:
Compound: Pm3YGa2
Source: the Alexandria database
Functional: PBE-GGA
Structure: relaxed

Calculated values
**Offset from the most stable computed form**: 0.064 eV per atom
**Energy**: -4.807 eV per atom
**N(E_F)**: 11.59 states/eV per cell

a b c (Å): 4.5543 10.0814 9.2807
angles (deg): 124.50 90.00 103.05
Fractional coordinates of all 12 atoms:
Pm  0.0441  0.0881  0.3990
Pm  0.9559  0.9119  0.6010
Pm  0.3196  0.6393  0.5679
Pm  0.3492  0.6983  0.1763
Pm  0.6508  0.3017  0.8237
Pm  0.6804  0.3607  0.4321
Y  0.1171  0.2342  0.0943
Y  0.8829  0.7658  0.9057
Ga  0.2332  0.4664  0.7517
Ga  0.7668  0.5336  0.2483
Ga  0.5042  0.0083  0.8664
Ga  0.4958  0.9917  0.1336

---

Entry 4:
Compound: Pm3Y3Ga4
Source: the Alexandria database
Functional: PBE-GGA
Structure: relaxed

Calculated values
**Energy**: -5.105 eV per atom
**N(E_F)**: 11.95 states/eV per cell

a b c (Å): 4.4436 7.7314 7.7314
angles (deg): 89.47 90.00 90.00
Fractional coordinates of all 10 atoms:
Pm  0.5000  0.3244  0.3264
Pm  0.5000  0.6736  0.6756
Pm  0.5000  0.8279  0.1721
Ga  0.0000  0.8841  0.8791
Ga  0.0000  0.3767  0.6233
Ga  0.0000  0.6180  0.3820
Ga  0.0000  0.1209  0.1159
Y  0.0000  0.5000  0.0013
Y  0.0000  0.9987  0.5000
Y  0.5000  0.1757  0.8243

---

Entry 5:
Compound: PmYGa4
Source: the Alexandria database
Functional: PBE-GGA
Structure: relaxed

Calculated values
**Offset from the most stable computed form**: 0.111 eV per atom
**Energy**: -4.454 eV per atom
**N(E_F)**: 3.91 states/eV per cell

a b c (Å): 5.5647 5.5647 5.5647
angles (deg): 60.00 60.00 60.00
Fractional coordinates of all 6 atoms:
Ga  0.6250  0.1251  0.6250
Ga  0.6250  0.6250  0.1251
Ga  0.1251  0.6250  0.6250
Ga  0.6250  0.6250  0.6250
Pm  0.0000  0.0000  0.0000
Y  0.2500  0.2500  0.2500

---

Entry 6:
Compound: PmY5Ga6
Source: the Alexandria database
Functional: PBE-GGA
Structure: relaxed

Calculated values
**Energy**: -5.200 eV per atom
**N(E_F)**: 4.30 states/eV per cell

a b c (Å): 5.0796 7.1842 8.0329
angles (deg): 90.00 71.71 90.00
Fractional coordinates of all 12 atoms:
Ga  0.1688  0.2536  0.6623
Ga  0.1688  0.7464  0.6623
Ga  0.5000  0.2528  0.0000
Ga  0.8312  0.7464  0.3377
Ga  0.5000  0.7472  0.0000
Ga  0.8312  0.2536  0.3377
Y  0.3327  0.0000  0.3346
Y  0.3353  0.5000  0.3293
Y  0.0000  0.5000  0.0000
Y  0.6647  0.5000  0.6707
Y  0.6673  0.0000  0.6654
Pm  0.0000  0.0000  0.0000

---

Entry 7:
Compound: Pm8YGa6
Source: the Alexandria database
Functional: PBE-GGA
Structure: relaxed

Calculated values
**Energy**: -4.540 eV per atom
**N(E_F)**: 18.77 states/eV per cell

a b c (Å): 8.8142 8.8142 8.0902
angles (deg): 56.99 56.99 60.00
Fractional coordinates of all 15 atoms:
Pm  0.4472  0.7792  0.6613
Pm  0.2208  0.8877  0.3387
Pm  0.6659  0.6659  0.0024
Pm  0.7792  0.1123  0.6613
Pm  0.1123  0.4472  0.6613
Pm  0.5528  0.2208  0.3387
Pm  0.3341  0.3341  0.9976
Pm  0.8877  0.5528  0.3387
Ga  0.0560  0.7275  0.8315
Ga  0.7275  0.3849  0.8315
Ga  0.2725  0.6151  0.1685
Ga  0.9440  0.2725  0.1685
Ga  0.3849  0.0560  0.8315
Ga  0.6151  0.9440  0.1685
Y  0.0000  0.0000  0.0000

---

Entry 8:
Compound: Pm2YGa2
Source: the Alexandria database
Functional: PBE-GGA
Structure: relaxed

Calculated values
**Offset from the most stable computed form**: 0.151 eV per atom
**Energy**: -4.775 eV per atom
**N(E_F)**: 9.80 states/eV per cell

a b c (Å): 3.9985 5.9430 13.1761
angles (deg): 114.76 90.00 90.00
Fractional coordinates of all 10 atoms:
Ga  0.7500  0.1344  0.3654
Ga  0.2500  0.3449  0.9839
Ga  0.7500  0.6551  0.0161
Ga  0.2500  0.8656  0.6346
Y  0.2500  0.8114  0.2068
Y  0.7500  0.1886  0.7932
Pm  0.2500  0.2991  0.5644
Pm  0.7500  0.2367  0.1320
Pm  0.2500  0.7633  0.8680
Pm  0.7500  0.7009  0.4356